Below is crystalline La9CdPb2 at its relaxed geometry, with properties calculated at the PBE level.

Computed properties:
DFT formation energy   -0.30 eV per atom
Calculated density   7.53 Mg/m³
Volume   392 Å³/cell

Cell and atoms, written as CIF:
```
data_La9CdPb2
_cell_length_a 5.087
_cell_length_b 5.087
_cell_length_c 15.137
_cell_angle_alpha 90.00
_cell_angle_beta 90.00
_cell_angle_gamma 90.00
_symmetry_space_group_name_H-M 'P 4/m m m'
_symmetry_Int_Tables_number 123
_symmetry_space_group_name_Hall '-P 4 2'
loop_
_atom_site_label
_atom_site_fract_x
_atom_site_fract_y
_atom_site_fract_z
_atom_site_occupancy
La1 0.000 0.000 0.000 1
La2 0.000 0.000 0.331 1
La3 0.000 0.500 0.167 1
La4 0.000 0.500 0.500 1
Cd1 0.500 0.500 0.000 1
Pb1 0.500 0.500 0.333 1
```